# 1
Below is LuRe2Ir after structural relaxation, with properties calculated at the PBE level.

Lattice parameters (Å, degrees): 6.421 6.421 6.421 90.00 90.00 90.00
Sites, in units of the cell vectors:
Lu 0.000 0.000 0.000
Lu 0.000 0.500 0.500
Lu 0.500 0.000 0.500
Lu 0.500 0.500 0.000
Re 0.000 0.000 0.500
Re 0.000 0.500 0.000
Re 0.250 0.250 0.750
Re 0.250 0.750 0.250
Re 0.500 0.000 0.000
Re 0.500 0.500 0.500
Re 0.750 0.250 0.250
Re 0.750 0.750 0.750
Ir 0.250 0.250 0.250
Ir 0.250 0.750 0.750
Ir 0.750 0.250 0.750
Ir 0.750 0.750 0.250

**Magnetization**: 0.8 μB per formula unit
**Calculated volume**: 16.55 A^3/atom
**DFT formation energy**: 0.09 eV/atom
**Crystal system**: cubic


# 2
Below is LuReIr2 after structural relaxation, with properties calculated at the PBE level.

Lattice parameters (Å, degrees): 6.418 6.418 6.418 90.00 90.00 90.00
Sites, in units of the cell vectors:
Lu 0.000 0.000 0.000
Lu 0.000 0.500 0.500
Lu 0.500 0.000 0.500
Lu 0.500 0.500 0.000
Re 0.250 0.250 0.750
Re 0.250 0.750 0.250
Re 0.750 0.250 0.250
Re 0.750 0.750 0.750
Ir 0.000 0.000 0.500
Ir 0.000 0.500 0.000
Ir 0.250 0.250 0.250
Ir 0.250 0.750 0.750
Ir 0.500 0.000 0.000
Ir 0.500 0.500 0.500
Ir 0.750 0.250 0.750
Ir 0.750 0.750 0.250

**Magnetization**: 0.0 μB per formula unit
**Calculated volume**: 16.52 A^3/atom
**DFT formation energy**: 0.08 eV/atom
**Crystal system**: cubic


# 3
Below is Lu2ReIr after structural relaxation, with properties calculated at the PBE level.

Lattice parameters (Å, degrees): 6.655 6.655 6.655 90.00 90.00 90.00
Sites, in units of the cell vectors:
Lu 0.000 0.000 0.000
Lu 0.000 0.500 0.500
Lu 0.250 0.250 0.250
Lu 0.250 0.750 0.750
Lu 0.500 0.000 0.500
Lu 0.500 0.500 0.000
Lu 0.750 0.250 0.750
Lu 0.750 0.750 0.250
Re 0.000 0.000 0.500
Re 0.000 0.500 0.000
Re 0.500 0.000 0.000
Re 0.500 0.500 0.500
Ir 0.250 0.250 0.750
Ir 0.250 0.750 0.250
Ir 0.750 0.250 0.250
Ir 0.750 0.750 0.750

**Magnetization**: 0.0 μB per formula unit
**Calculated volume**: 18.42 A^3/atom
**DFT formation energy**: 0.05 eV/atom
**Crystal system**: cubic


# 4
Below is Tm3Lu3Sb2Ir after structural relaxation, with properties calculated at the PBE level.

Lattice parameters (Å, degrees): 8.079 8.079 4.098 90.00 90.00 120.00
Sites, in units of the cell vectors:
Tm 0.000 0.611 0.000
Tm 0.389 0.389 0.000
Tm 0.611 0.000 0.000
Lu 0.000 0.240 0.500
Lu 0.240 0.000 0.500
Lu 0.760 0.760 0.500
Sb 0.333 0.667 0.500
Sb 0.667 0.333 0.500
Ir 0.000 0.000 0.000

**Magnetization**: 0.0 μB per formula unit
**Calculated volume**: 25.74 A^3/atom
**Crystal system**: hexagonal
**Electronic total energy**: -51.34 eV per cell